ZrP2AuO | PBE-GGA | optimized geometry

Structure (CIF):
```
data_ZrP2AuO
_chemical_formula_sum 'Zr1 P2 Au1 O1'
_cell_length_a 5.2004
_cell_length_b 5.2004
_cell_length_c 3.9373
_cell_angle_alpha 90.00
_cell_angle_beta 90.00
_cell_angle_gamma 90.00
_space_group_name_H-M_alt 'P 4/m m m'
_space_group_IT_number 123
_space_group_name_Hall '-P 4 2'
loop_
_atom_site_label
_atom_site_fract_x
_atom_site_fract_y
_atom_site_fract_z
Zr1 0.0000 0.0000 0.0000
P1 0.0000 0.5000 0.0000
Au1 0.5000 0.5000 0.5000
O1 0.0000 0.0000 0.5000
```

Calculated values
* E_form (uncorrected): -0.195 eV per atom
* density of states at the Fermi level: 0.77 states/eV/atom
* spin magnetization: 0.00 Bohr magnetons per cell